## MgZnNi (PBEsol)

Data for a relaxed structure of MgZnNi.

Structure (CIF):
```
data_MgZnNi
_cell_length_a 2.7706
_cell_length_b 4.1825
_cell_length_c 4.1825
_cell_angle_alpha 120.00
_cell_angle_beta 90.00
_cell_angle_gamma 90.00
_space_group_name_H-M_alt 'P 1'
_space_group_IT_number 1
_space_group_name_Hall 'P 1'
loop_
_atom_site_label
_atom_site_type_symbol
_atom_site_fract_x
_atom_site_fract_y
_atom_site_fract_z
Zn1 Zn 0.5000 0.6667 0.3333
Ni1 Ni 0.5000 0.3333 0.6667
Mg1 Mg 0.0000 0.0000 0.0000
```

Calculated values
DFT formation energy, eV per atom: -0.13
Uncorrected energy, eV per atom: -3.29